Compound: Sm2CoSi3Pt12
Source: the Alexandria database
Functional: GGA-PBE
Structure: optimized geometry

Results
**Total DFT energy (no corrections)**: -6.282 eV/atom
**Total moment**: 2.0 μB/f.u.
**E_form (uncorrected)**: -7.78 eV/f.u.
**Symmetry**: R-3m (166)

Cell: 7.708 7.708 7.708 Å, 63.83 63.83 63.83°
Last column: magnetic moment on the atom in μB.
Sites, in units of the cell vectors:
1 Pt 0.106 0.642 0.642  -0.01
2 Co 0.000 0.000 0.000  1.88
3 Pt 0.875 0.875 0.370  0.06
4 Pt 0.125 0.125 0.630  0.06
5 Si 0.000 0.500 0.000  -0.01
6 Pt 0.875 0.370 0.875  0.06
7 Pt 0.894 0.358 0.358  -0.01
8 Sm 0.617 0.617 0.617  -0.01
9 Sm 0.383 0.383 0.383  -0.01
10 Pt 0.642 0.106 0.642  -0.01
11 Si 0.500 0.000 0.000  -0.01
12 Pt 0.358 0.894 0.358  -0.01
13 Pt 0.642 0.642 0.106  -0.01
14 Pt 0.125 0.630 0.125  0.06
15 Pt 0.630 0.125 0.125  0.06
16 Pt 0.370 0.875 0.875  0.06
17 Si 0.000 0.000 0.500  -0.01
18 Pt 0.358 0.358 0.894  -0.01